# 1
Material: ThCd5Rh6
Method: DFT, PBE-GGA
State: optimized geometry

a = 4.648 Å, b = 6.590 Å, c = 7.301 Å
α = 90.00°, β = 108.53°, γ = 90.00°
Element x y z (fractional)
Th 0.000 0.000 0.000
Rh 0.834 0.252 0.669
Rh 0.500 0.252 0.000
Rh 0.166 0.748 0.331
Rh 0.500 0.748 0.000
Rh 0.834 0.748 0.669
Rh 0.166 0.252 0.331
Cd 0.667 0.500 0.334
Cd 0.672 0.000 0.344
Cd 0.333 0.500 0.666
Cd 0.328 0.000 0.656
Cd 0.000 0.500 0.000

density of states at the Fermi level: 5.4 states/eV per cell
energy of formation from the pure elements: -0.322 eV per atom
size of the total moment: 0.000 μB/f.u.
energy: -4.9976 eV/atom


# 2
Material: ThCdRh
Method: DFT, PBE-GGA
State: optimized geometry

a = 4.002 Å, b = 7.626 Å, c = 13.270 Å
α = 90.86°, β = 90.00°, γ = 90.00°
Element x y z (fractional)
Cd 0.250 0.872 0.461
Cd 0.750 0.617 0.796
Cd 0.250 0.012 0.085
Cd 0.750 0.128 0.539
Cd 0.250 0.383 0.204
Cd 0.750 0.988 0.915
Th 0.750 0.551 0.376
Th 0.250 0.335 0.918
Th 0.750 0.057 0.289
Th 0.750 0.665 0.082
Th 0.250 0.449 0.624
Th 0.250 0.943 0.711
Rh 0.250 0.275 0.409
Rh 0.750 0.725 0.591
Rh 0.250 0.767 0.251
Rh 0.250 0.721 0.932
Rh 0.750 0.279 0.068
Rh 0.750 0.233 0.749

density of states at the Fermi level: 11.4 states/eV per cell
energy of formation from the pure elements: -0.646 eV per atom
size of the total moment: 0.000 μB/f.u.
energy: -5.8744 eV/atom


# 3
Material: ThCd2Rh
Method: DFT, PBE-GGA
State: optimized geometry

a = 3.174 Å, b = 3.174 Å, c = 11.035 Å
α = 81.73°, β = 81.73°, γ = 60.00°
Element x y z (fractional)
Rh 0.500 0.500 0.500
Cd 0.102 0.102 0.695
Cd 0.898 0.898 0.305
Th 0.000 0.000 0.000

density of states at the Fermi level: 3.7 states/eV per cell
energy of formation from the pure elements: 0.292 eV per atom
size of the total moment: 0.000 μB/f.u.
energy: -3.8579 eV/atom


# 4
Material: Th2Cd2Rh3
Method: DFT, PBE-GGA
State: optimized geometry

a = 4.167 Å, b = 5.369 Å, c = 8.283 Å
α = 105.10°, β = 104.57°, γ = 112.83°
Element x y z (fractional)
Th 0.802 0.427 0.178
Th 0.198 0.573 0.822
Rh 0.470 0.150 0.790
Rh 0.000 0.000 0.000
Rh 0.530 0.850 0.210
Cd 0.308 0.178 0.437
Cd 0.692 0.822 0.563

density of states at the Fermi level: 3.7 states/eV per cell
energy of formation from the pure elements: -0.662 eV per atom
size of the total moment: 0.000 μB/f.u.
energy: -6.1940 eV/atom


# 5
Material: ThCd3Rh
Method: DFT, PBE-GGA
State: optimized geometry

a = 5.431 Å, b = 5.834 Å, c = 7.714 Å
α = 90.00°, β = 111.05°, γ = 90.00°
Element x y z (fractional)
Th 0.303 0.448 0.686
Th 0.732 0.948 0.875
Cd 0.720 0.702 0.469
Cd 0.720 0.194 0.469
Cd 0.314 0.202 0.092
Cd 0.314 0.694 0.092
Cd 0.870 0.448 0.179
Cd 0.165 0.948 0.382
Rh 0.198 0.948 0.757
Rh 0.837 0.448 0.803

density of states at the Fermi level: 3.8 states/eV per cell
energy of formation from the pure elements: -0.388 eV per atom
size of the total moment: 0.000 μB/f.u.
energy: -3.8911 eV/atom


# 6
Material: Th2CdRh3
Method: DFT, PBE-GGA
State: optimized geometry

a = 9.280 Å, b = 9.280 Å, c = 9.280 Å
α = 60.00°, β = 60.00°, γ = 60.00°
Element x y z (fractional)
Cd 0.000 0.500 0.000
Cd 0.500 0.000 0.000
Cd 0.000 0.000 0.000
Cd 0.000 0.000 0.500
Th 0.729 0.313 0.729
Th 0.729 0.729 0.729
Th 0.271 0.271 0.687
Th 0.313 0.729 0.729
Th 0.271 0.687 0.271
Th 0.687 0.271 0.271
Th 0.729 0.729 0.313
Th 0.271 0.271 0.271
Rh 0.370 0.370 0.880
Rh 0.880 0.370 0.880
Rh 0.630 0.120 0.120
Rh 0.120 0.120 0.630
Rh 0.120 0.630 0.120
Rh 0.370 0.880 0.880
Rh 0.370 0.880 0.370
Rh 0.630 0.120 0.630
Rh 0.880 0.880 0.370
Rh 0.630 0.630 0.120
Rh 0.120 0.630 0.630
Rh 0.880 0.370 0.370

density of states at the Fermi level: 17.4 states/eV per cell
energy of formation from the pure elements: -0.490 eV per atom
size of the total moment: 0.000 μB/f.u.
energy: -6.7919 eV/atom


# 7
Material: Th2CdRh4
Method: DFT, PBE-GGA
State: optimized geometry

a = 4.169 Å, b = 5.840 Å, c = 5.840 Å
α = 95.66°, β = 90.00°, γ = 90.00°
Element x y z (fractional)
Rh 0.500 0.500 0.000
Rh 0.000 0.262 0.262
Rh 0.000 0.738 0.738
Rh 0.500 0.000 0.500
Th 0.000 0.211 0.789
Th 0.000 0.789 0.211
Cd 0.500 0.500 0.500

density of states at the Fermi level: 2.0 states/eV per cell
energy of formation from the pure elements: -0.713 eV per atom
size of the total moment: 0.000 μB/f.u.
energy: -7.1645 eV/atom


# 8
Material: ThCd3Rh4
Method: DFT, PBE-GGA
State: optimized geometry

a = 4.663 Å, b = 6.664 Å, c = 9.326 Å
α = 90.00°, β = 90.00°, γ = 90.00°
Element x y z (fractional)
Th 0.000 0.500 0.000
Th 0.000 0.500 0.500
Rh 0.000 0.244 0.750
Rh 0.500 0.244 0.500
Rh 0.500 0.756 0.500
Rh 0.000 0.244 0.250
Rh 0.500 0.244 0.000
Rh 0.000 0.756 0.250
Rh 0.000 0.756 0.750
Rh 0.500 0.756 0.000
Cd 0.499 0.000 0.250
Cd 0.000 0.000 0.000
Cd 0.500 0.500 0.250
Cd 0.000 0.000 0.500
Cd 0.501 0.000 0.750
Cd 0.500 0.500 0.750

density of states at the Fermi level: 5.4 states/eV per cell
energy of formation from the pure elements: -0.418 eV per atom
size of the total moment: 0.000 μB/f.u.
energy: -5.3646 eV/atom


# 9
Material: ThCdRh
Method: DFT, PBE-GGA
State: optimized geometry

a = 4.713 Å, b = 6.233 Å, c = 5.212 Å
α = 80.11°, β = 89.99°, γ = 67.73°
Element x y z (fractional)
Th 0.867 0.272 0.199
Th 0.138 0.731 0.805
Rh 0.215 0.576 0.323
Rh 0.789 0.428 0.682
Cd 0.427 0.152 0.722
Cd 0.578 0.851 0.282

density of states at the Fermi level: 3.8 states/eV per cell
energy of formation from the pure elements: -0.589 eV per atom
size of the total moment: 0.000 μB/f.u.
energy: -5.8177 eV/atom


# 10
Material: ThCdRh
Method: DFT, PBE-GGA
State: optimized geometry

a = 3.456 Å, b = 3.456 Å, c = 6.267 Å
α = 106.00°, β = 106.00°, γ = 90.00°
Element x y z (fractional)
Rh 0.952 0.952 0.905
Cd 0.307 0.307 0.613
Th 0.591 0.591 0.182

density of states at the Fermi level: 2.9 states/eV per cell
energy of formation from the pure elements: -0.407 eV per atom
size of the total moment: 0.000 μB/f.u.
energy: -5.6362 eV/atom


# 11
Material: TmThCdRh
Method: DFT, PBE-GGA
State: optimized geometry

a = 5.135 Å, b = 5.135 Å, c = 5.135 Å
α = 60.00°, β = 60.00°, γ = 60.00°
Element x y z (fractional)
Th 0.500 0.500 0.500
Tm 0.000 0.000 0.000
Rh 0.250 0.250 0.250
Cd 0.750 0.750 0.750

density of states at the Fermi level: 4.0 states/eV per cell
energy of formation from the pure elements: -0.408 eV per atom
size of the total moment: 0.000 μB/f.u.
energy: -5.4476 eV/atom


# 12
Material: ThZnCdRh
Method: DFT, PBE-GGA
State: optimized geometry

a = 4.898 Å, b = 4.898 Å, c = 4.898 Å
α = 60.00°, β = 60.00°, γ = 60.00°
Element x y z (fractional)
Cd 0.500 0.500 0.500
Rh 0.250 0.250 0.250
Th 0.000 0.000 0.000
Zn 0.750 0.750 0.750

density of states at the Fermi level: 2.3 states/eV per cell
energy of formation from the pure elements: -0.351 eV per atom
size of the total moment: 0.000 μB/f.u.
energy: -4.5910 eV/atom